Compound: K2CrMoF6
Source: Alexandria via LeMat-Bulk
Functional: PBE+U
Structure: relaxed

Geometry as POSCAR:
```
K2CrMoF6
1.0
6.144 0.000 0.000
0.000 6.310 0.000
0.000 0.000 8.392
K Cr Mo F
4 2 2 12
direct
0.500 0.750 0.253
0.000 0.250 0.753
0.500 0.750 0.747
0.000 0.250 0.247
0.000 0.750 0.500
0.500 0.250 0.000
0.500 0.250 0.500
0.000 0.750 0.000
0.500 0.250 0.240
0.500 0.250 0.760
0.000 0.750 0.260
0.000 0.750 0.740
0.252 0.990 0.500
0.748 0.990 0.500
0.252 0.510 0.500
0.748 0.510 0.500
0.752 0.490 0.000
0.248 0.490 0.000
0.248 0.010 0.000
0.752 0.010 0.000
```

Results
Energy: -5.21 eV/atom